This record from Alexandria describes a relaxed LiIn4Pb7 crystal. The functional is GGA-PBE.

POSCAR file:
```
LiIn4Pb7
1.0
5.579 0.000 0.000
2.789 9.353 0.294
2.789 0.639 7.247
In Pb Li
4 7 1
direct
0.717 0.680 0.887
0.433 0.773 0.361
0.283 0.320 0.113
0.567 0.227 0.639
0.355 0.560 0.731
0.084 0.671 0.162
0.209 0.103 0.479
0.791 0.897 0.521
0.916 0.329 0.838
0.645 0.440 0.269
0.500 0.000 0.000
0.000 0.000 0.000
```

Values from the calculation:
- DOS(E_F) (states/eV per atom) = 0.45
- offset from the most stable computed form (meV/atom) = 68.9
- DFT total energy (Ry per atom) = -0.232

This record from Alexandria describes a relaxed MgCd2 crystal. The functional is GGA-PBE.

POSCAR file:
```
MgCd2
1.0
-3.501 3.501 2.926
3.501 -3.501 2.926
3.501 3.501 -2.926
Cd Mg
4 2
direct
0.848 0.652 0.500
0.152 0.348 0.500
0.348 0.848 0.195
0.652 0.152 0.805
0.250 0.250 0.000
0.750 0.750 0.000
```

Values from the calculation:
- DOS(E_F) (states/eV per atom) = 0.45
- DFT total energy (Ry per atom) = -0.080

This record from Alexandria describes a relaxed Cd4SbIr crystal. The functional is GGA-PBE.

POSCAR file:
```
Cd4SbIr
1.0
-4.495 -1.436 3.067
-5.165 1.374 -1.762
-3.502 -4.002 -1.842
Cd Sb Ir
4 1 1
direct
0.376 0.376 0.376
0.376 0.376 0.873
0.873 0.376 0.376
0.376 0.873 0.376
0.000 0.000 0.000
0.750 0.750 0.750
```

Values from the calculation:
- DOS(E_F) (states/eV per atom) = 0.06
- formation energy from raw total energies (eV per atom) = 0.3805
- DFT total energy (Ry per atom) = -0.176

- Which formula does entry 2 have?
  MgCd2

- What is the DFT total energy in the first record?
  -0.232 Ry per atom

- The highest DFT total energy belongs to which entry?
  MgCd2